[1]
Density functional theory data (PBE) for a relaxed structure of LaNi3C.

## Properties
Space-group type: P6_3/mmc
Distance to the lowest polymorph of the same formula: 128.8 meV/atom
D(E_F): 4.78 states/eV/f.u.
Crystal system: hexagonal
Calculated formation energy: 101.6 meV per atom

abc: 5.6061 5.6061 5.1832
angles: 90.00 90.00 120.00
With the nearest neighbours (Å) after each atom.
Fractional coordinates of all 10 atoms:
La1 0.3333 0.6667 0.2500  12 Ni 2.80-3.11
La2 0.6667 0.3333 0.7500  12 Ni 2.80-3.11
Ni1 0.1562 0.3123 0.7500  2 C 1.99
Ni2 0.1562 0.8438 0.7500  2 C 1.99
Ni3 0.3123 0.1562 0.2500  2 C 1.99
Ni4 0.6877 0.8438 0.7500  2 C 1.99
Ni5 0.8438 0.1562 0.2500  2 C 1.99
Ni6 0.8438 0.6877 0.2500  2 C 1.99
C1 0.0000 0.0000 0.0000  6 Ni 1.99
C2 0.0000 0.0000 0.5000  6 Ni 1.99

***

[2]
Density functional theory data (PBE) for a relaxed structure of La2Ni4C.

## Properties
Space-group type: I4/mmm
Distance to the lowest polymorph of the same formula: 0.0 meV/atom
D(E_F): 6.72 states/eV/f.u.
Crystal system: tetragonal
Calculated formation energy: -189.4 meV per atom

abc: 8.4142 8.4142 8.4142
angles: 153.33 153.33 38.08
With the nearest neighbours (Å) after each atom.
Fractional coordinates of all 7 atoms:
La1 0.1586 0.1586 0.0000  4 Ni 2.82
La2 0.8414 0.8414 0.0000  4 Ni 2.82
Ni1 0.0000 0.5000 0.5000  2 C 1.94
Ni2 0.3808 0.3808 0.0000  1 C 1.90
Ni3 0.5000 0.0000 0.5000  2 C 1.94
Ni4 0.6192 0.6192 0.0000  1 C 1.90
C1 0.5000 0.5000 0.0000  6 Ni 1.90-1.94